A relaxed structure of Ni2BiMoPd. Source: the Alexandria database, functional GGA-PBE.

Results
Electronic total energy = -4.907 eV per atom
Formation energy from the elements = 1.387 eV per atom
N(E_F) = 7.598 states/eV/f.u.

Unit cell a=4.6063 b=5.0332 c=4.6063 alpha=90.00 beta=90.00 gamma=90.00
Sites, in units of the cell vectors:
Ni 0.0000 0.0000 0.5000
Mo 0.5000 0.5000 0.5000
Bi 0.0000 0.5000 0.0000
Pd 0.0000 0.0000 0.0000
Ni 0.5000 0.0000 0.0000

A relaxed structure of SrNi2BiMo. Source: the Alexandria database, functional GGA-PBE.

Results
Electronic total energy = -4.564 eV per atom
Formation energy from the elements = 1.027 eV per atom
N(E_F) = 6.513 states/eV/f.u.

Unit cell a=4.6699 b=5.4995 c=4.6699 alpha=90.00 beta=90.00 gamma=90.00
Sites, in units of the cell vectors:
Bi 0.5000 0.5000 0.5000
Mo 0.0000 0.0000 0.0000
Ni 0.0000 0.0000 0.5000
Ni 0.5000 0.0000 0.0000
Sr 0.0000 0.5000 0.0000

Q: Look up the electronic total energy of the second one.
A: -4.564 eV per atom